[1]
# LaMoH2 PBE optimized geometry
data_LaMoH2
_cell_length_a 5.9394
_cell_length_b 5.9394
_cell_length_c 5.9394
_cell_angle_alpha 90.00
_cell_angle_beta 90.00
_cell_angle_gamma 90.00
_symmetry_space_group_name_H-M 'F m -3 m'
_symmetry_Int_Tables_number 225
_symmetry_space_group_name_Hall '-F 4 2 3'
loop_
_atom_site_label
_atom_site_type_symbol
_atom_site_fract_x
_atom_site_fract_y
_atom_site_fract_z
_atom_site_occupancy
La1 La 0.0000 0.0000 0.0000 1
Mo1 Mo 0.0000 0.0000 0.5000 1
H1 H 0.2500 0.2500 0.2500 1
# Relative energy among the computed polymorphs, eV/atom: 0.569

=====

[2]
# RbTeS2 PBE optimized geometry
data_RbTeS2
_cell_length_a 6.7972
_cell_length_b 13.3764
_cell_length_c 6.6279
_cell_angle_alpha 90.00
_cell_angle_beta 90.00
_cell_angle_gamma 90.00
_symmetry_space_group_name_H-M 'P n a 21'
_symmetry_Int_Tables_number 33
loop_
_symmetry_equiv_pos_as_xyz
'x,y,z'
'-x,-y,z+1/2'
'-x+1/2,y+1/2,z+1/2'
'x+1/2,-y+1/2,z'
loop_
_atom_site_label
_atom_site_type_symbol
_atom_site_fract_x
_atom_site_fract_y
_atom_site_fract_z
_atom_site_occupancy
Rb1 Rb 0.0381 0.1277 0.0000 1
Te1 Te 0.0780 0.3720 0.4370 1
S1 S 0.0392 0.3875 0.0865 1
S2 S 0.0813 0.8680 0.9947 1
# Formation energy (no corrections), eV per atom: -0.486

=====

Computed values of D(E_F) (unit: states/eV per atom) for the preceding records, in sequence: 0.747, 0.161.